No. 1
Compound: Nd2PuIn3Te6
Source: Alexandria
Functional: GGA-PBE
Structure: relaxed

Output
uncorrected formation energy: -0.89 eV/atom

Cell: 7.809 7.809 8.482 Å, 98.83 98.83 120.02°
Positions (direct):
Te 0.075 0.405 0.226
Te 0.925 0.595 0.774
Te 0.595 0.925 0.774
Te 0.405 0.075 0.226
Te 0.746 0.746 0.227
Te 0.254 0.254 0.773
Nd 0.667 0.333 0.000
Nd 0.333 0.667 0.000
In 0.500 0.500 0.500
In 0.832 0.168 0.500
In 0.168 0.832 0.500
Pu 0.000 0.000 0.000

=====

No. 2
Compound: TbPmBi2O6
Source: Alexandria
Functional: GGA-PBE
Structure: relaxed

Output
uncorrected formation energy: -2.32 eV/atom

Cell: 6.103 6.104 6.217 Å, 60.60 60.61 59.98°
Positions (direct):
O 0.947 0.625 0.244
O 0.682 0.134 0.748
O 0.184 0.947 0.244
O 0.134 0.436 0.747
O 0.436 0.682 0.748
O 0.624 0.184 0.244
Bi 0.521 0.521 0.436
Bi 0.020 0.020 0.940
Pm 0.804 0.804 0.587
Tb 0.308 0.308 0.077

=====

No. 3
Compound: La3IrPb
Source: Alexandria
Functional: GGA-PBE
Structure: relaxed

Output
energy relative to the lowest polymorph listed for this composition: 175 meV per atom
formation energy from the elements: -0.512 eV per atom

Cell: 21.186 6.261 7.194 Å, 90.00 138.05 90.00°
Positions (direct):
La 0.982 0.332 0.174
La 0.721 0.411 0.062
La 0.482 0.168 0.674
La 0.279 0.589 0.938
La 0.183 0.162 0.997
La 0.018 0.668 0.826
La 0.817 0.838 0.003
La 0.317 0.662 0.503
La 0.518 0.832 0.326
La 0.779 0.911 0.438
La 0.221 0.089 0.562
La 0.683 0.338 0.497
Ir 0.344 0.044 0.132
Ir 0.656 0.956 0.868
Ir 0.156 0.544 0.368
Ir 0.844 0.456 0.632
Pb 0.946 0.183 0.564
Pb 0.054 0.817 0.436
Pb 0.554 0.683 0.936
Pb 0.446 0.317 0.064

=====

No. 4
Compound: La2CdSn3Rh4
Source: Alexandria
Functional: GGA-PBE
Structure: relaxed

Output
formation energy from the elements: -0.676 eV per atom

Cell: 4.439 4.439 11.223 Å, 90.00 90.00 90.00°
Positions (direct):
La 0.500 0.000 0.249
La 0.000 0.500 0.751
Rh 0.000 0.500 0.358
Rh 0.000 0.000 0.000
Rh 0.500 0.000 0.642
Rh 0.500 0.500 0.000
Cd 0.500 0.500 0.500
Sn 0.000 0.000 0.500
Sn 0.500 0.000 0.874
Sn 0.000 0.500 0.126

=====

In order of appearance, magnetic moment = 5.1; 0.0; 0.0; 0.0 Bohr magnetons per cell.
In order of appearance, Fermi-level density of states = 1.305; 0.000; 0.857; 0.645 states/eV per atom.